Record 1
## Dy3VO6 (PBE+U)

Data for a relaxed structure of Dy3VO6.

a b c (Å): 6.543 6.543 6.543
angles (deg): 92.56 92.56 92.56
Positions (direct):
Dy 0.064 0.755 0.572
Dy 0.245 0.428 0.936
Dy 0.428 0.936 0.245
Dy 0.572 0.064 0.755
Dy 0.755 0.572 0.064
Dy 0.936 0.245 0.428
V 0.000 0.000 0.000
V 0.500 0.500 0.500
O 0.040 0.699 0.911
O 0.089 0.960 0.301
O 0.197 0.432 0.581
O 0.301 0.089 0.960
O 0.419 0.803 0.568
O 0.432 0.581 0.197
O 0.568 0.419 0.803
O 0.581 0.197 0.432
O 0.699 0.911 0.040
O 0.803 0.568 0.419
O 0.911 0.040 0.699
O 0.960 0.301 0.089

Calculated values
**D(E_F)**: 3.38 states/eV/f.u.
**VASP energy**: -8.2978 eV/atom
**Calculated density**: 7.54 g/cm³
**E above lowest polymorph**: 0.0 meV per atom

Record 2
## BiMoOF2 (PBE+U)

Data for a relaxed structure of BiMoOF2.

a b c (Å): 4.622 4.622 4.524
angles (deg): 90.00 90.00 90.00
Positions (direct):
Bi 0.000 0.000 0.000
Mo 0.500 0.500 0.500
O 0.000 0.000 0.500
F 0.000 0.500 0.000
F 0.500 0.000 0.000

Calculated values
**D(E_F)**: 0.15 states/eV/f.u.
**VASP energy**: -4.9207 eV/atom
**Calculated density**: 6.17 g/cm³
**E above lowest polymorph**: 299.2 meV per atom